(A)
The following is a DFT calculation (PBE-GGA) of a relaxed Dy8Ho2Mg crystal.

The total magnetization is 0.00 μB/f.u. The density of states at the Fermi level comes out at 31.5 states/eV per cell.

The space group is C2/m (No. 12) and the conventional cell measures 19.181, 5.538 and 6.418 Å, with angles of 90.00, 94.03 and 90.00 degrees. The distinct sites, in fractional coordinates, are Dy at (0.045, 0.000, 0.261), Dy at (0.080, 0.500, 0.594), Dy at (0.154, 0.000, 0.810), Dy at (0.161, 0.500, 0.123), Ho at (0.241, 0.000, 0.335) and Mg at (0.000, 0.500, 0.000).

(B)
The following is a DFT calculation (PBE-GGA) of a relaxed Dy8Ho2Mg crystal.

The total magnetization is 0.00 μB/f.u. The density of states at the Fermi level comes out at 36.8 states/eV per cell.

The space group is C2/m (No. 12) and the conventional cell measures 17.127, 6.618 and 6.457 Å, with angles of 90.00, 104.97 and 90.00 degrees. The distinct sites, in fractional coordinates, are Dy at (0.088, 0.000, 0.417), Dy at (0.090, 0.243, 0.930), Dy at (0.206, 0.500, 0.658), Ho at (0.248, 0.000, 0.809) and Mg at (0.000, 0.500, 0.500).

(A) is favored, and the nearest alternative lies 167 meV per atom above it.

(A)
The following is a DFT calculation (PBE-GGA) of a relaxed DyHoMg crystal.

The total magnetization is 0.01 μB/f.u. The density of states at the Fermi level comes out at 17.0 states/eV per cell.

The space group is Cmmm (No. 65) and the conventional cell measures 11.559, 11.955 and 3.257 Å, with angles of 90.00, 90.00 and 90.00 degrees. The distinct sites, in fractional coordinates, are Dy at (0.000, 0.240, 0.000), Ho at (0.000, 0.000, 0.500), Ho at (0.000, 0.500, 0.000) and Mg at (0.237, 0.500, 0.500).

(B)
The following is a DFT calculation (PBE-GGA) of a relaxed DyHoMg crystal.

The total magnetization is 0.01 μB/f.u. The density of states at the Fermi level comes out at 8.9 states/eV per cell.

The space group is I4mm (No. 107) and the conventional cell measures 3.645, 3.645 and 12.916 Å, with angles of 90.00, 90.00 and 90.00 degrees. The distinct sites, in fractional coordinates, are Dy at (0.000, 0.000, 0.000), Ho at (0.000, 0.000, 0.681) and Mg at (0.000, 0.000, 0.339).

(C)
The following is a DFT calculation (PBE-GGA) of a relaxed DyHoMg crystal.

The total magnetization is 0.00 μB/f.u. The density of states at the Fermi level comes out at 7.1 states/eV per cell.

The space group is P2_1 (No. 4) and the conventional cell measures 3.416, 5.379 and 9.445 Å, with angles of 90.00, 90.01 and 90.00 degrees. The distinct sites, in fractional coordinates, are Dy at (0.001, 0.000, 0.085), Ho at (0.499, 0.500, 0.254) and Mg at (0.001, 0.502, 0.579).

(B) is favored, and the nearest alternative lies 52 meV per atom above it.

(A)
The following is a DFT calculation (PBE-GGA) of a relaxed DyHoMg crystal.

The total magnetization is 0.00 μB/f.u. The density of states at the Fermi level comes out at 4.2 states/eV per cell.

The space group is Pmmm (No. 47) and the conventional cell measures 3.430, 5.346 and 5.359 Å, with angles of 90.00, 90.00 and 90.00 degrees. The distinct sites, in fractional coordinates, are Dy at (0.000, 0.000, 0.000), Ho at (0.000, 0.500, 0.500) and Mg at (0.500, 0.000, 0.500).

(B)
The following is a DFT calculation (PBE-GGA) of a relaxed DyHoMg crystal.

The total magnetization is 0.00 μB/f.u. The density of states at the Fermi level comes out at 3.8 states/eV per cell.

The space group is P3m1 (No. 156) and the conventional cell measures 5.4233, 5.4233 and 3.3663 Å, with angles of 90.00, 90.00 and 120.00 degrees. The distinct sites, in fractional coordinates, are Dy at (0.0000, 0.0000, 0.0000), Ho at (0.6667, 0.3333, 0.5724) and Mg at (0.3333, 0.6667, 0.2910).

(B) is favored, and the nearest alternative lies 319 meV per atom above it.

(A)
The following is a DFT calculation (PBE-GGA) of a relaxed Dy2Ho8Mg crystal.

The total magnetization is 0.00 μB/f.u. The density of states at the Fermi level comes out at 33.2 states/eV per cell.

The space group is C2/m (No. 12) and the conventional cell measures 19.184, 5.519 and 6.390 Å, with angles of 90.00, 94.40 and 90.00 degrees. The distinct sites, in fractional coordinates, are Dy at (0.242, 0.000, 0.335), Ho at (0.046, 0.000, 0.262), Ho at (0.079, 0.500, 0.595), Ho at (0.153, 0.000, 0.810), Ho at (0.161, 0.500, 0.125) and Mg at (0.000, 0.500, 0.000).

(B)
The following is a DFT calculation (PBE-GGA) of a relaxed Dy2Ho8Mg crystal.

The total magnetization is 0.00 μB/f.u. The density of states at the Fermi level comes out at 31.5 states/eV per cell.

The space group is C2/m (No. 12) and the conventional cell measures 17.414, 6.596 and 6.369 Å, with angles of 90.00, 110.25 and 90.00 degrees. The distinct sites, in fractional coordinates, are Dy at (0.227, 0.000, 0.116), Ho at (0.071, 0.000, 0.248), Ho at (0.097, 0.255, 0.714), Ho at (0.203, 0.500, 0.317) and Mg at (0.000, 0.500, 0.000).

(A) is favored, and the nearest alternative lies 161 meV per atom above it.

(A)
The following is a DFT calculation (PBE-GGA) of a relaxed Dy5Ho2Mg5 crystal.

The total magnetization is 0.00 μB/f.u. The density of states at the Fermi level comes out at 26.2 states/eV per cell.

The space group is C2/m (No. 12) and the conventional cell measures 17.049, 3.600 and 12.131 Å, with angles of 90.00, 114.95 and 90.00 degrees. The distinct sites, in fractional coordinates, are Dy at (0.000, 0.000, 0.000), Dy at (0.053, 0.000, 0.743), Dy at (0.166, 0.000, 0.520), Ho at (0.122, 0.500, 0.258), Mg at (0.000, 0.500, 0.500), Mg at (0.170, 0.500, 0.000) and Mg at (0.225, 0.500, 0.777).

(B)
The following is a DFT calculation (PBE-GGA) of a relaxed Dy5Ho2Mg5 crystal.

The total magnetization is 0.00 μB/f.u. The density of states at the Fermi level comes out at 27.2 states/eV per cell.

The space group is C2/m (No. 12) and the conventional cell measures 12.061, 5.273 and 11.301 Å, with angles of 90.00, 110.10 and 90.00 degrees. The distinct sites, in fractional coordinates, are Dy at (0.000, 0.000, 0.000), Dy at (0.104, 0.000, 0.754), Dy at (0.158, 0.000, 0.482), Ho at (0.089, 0.500, 0.242), Mg at (0.000, 0.500, 0.500), Mg at (0.173, 0.500, 0.977) and Mg at (0.244, 0.500, 0.741).

(A) is favored, and the nearest alternative lies 43 meV per atom above it.

(A)
The following is a DFT calculation (PBE-GGA) of a relaxed Dy4HoMg crystal.

The total magnetization is 0.00 μB/f.u. The density of states at the Fermi level comes out at 34.9 states/eV per cell.

The space group is C2/c (No. 15) and the conventional cell measures 10.495, 6.091 and 11.788 Å, with angles of 90.00, 107.24 and 90.00 degrees. The distinct sites, in fractional coordinates, are Dy at (0.082, 0.246, 0.000), Dy at (0.167, 0.419, 0.750), Ho at (0.250, 0.250, 0.500) and Mg at (0.000, 0.082, 0.250).

(B)
The following is a DFT calculation (PBE-GGA) of a relaxed Dy4HoMg crystal.

The total magnetization is 0.00 μB/f.u. The density of states at the Fermi level comes out at 8.1 states/eV per cell.

The space group is P4/mmm (No. 123) and the conventional cell measures 3.545, 3.545 and 14.359 Å, with angles of 90.00, 90.00 and 90.00 degrees. The distinct sites, in fractional coordinates, are Dy at (0.000, 0.000, 0.154), Dy at (0.500, 0.500, 0.326), Ho at (0.000, 0.000, 0.500) and Mg at (0.500, 0.500, 0.000).

(B) is favored, and the nearest alternative lies 36 meV per atom above it.